Here is an optimized crystal structure of Er2Cr2Co15 from the Alexandria database. Energies are from GGA-PBE.

Results
Formation energy from the elements = -0.080 eV per atom
Space group = R-3m
M_tot = 20.16 μB per formula unit
Density = 9.18 g/cm³
VASP energy = -7.1836 eV per atom

a = 6.253 Å, b = 6.253 Å, c = 6.253 Å
α = 82.89°, β = 82.89°, γ = 82.89°
Atoms (fractional coordinates):
Er1 0.344 0.344 0.344
Er2 0.656 0.656 0.656
Cr1 0.086 0.086 0.086
Cr2 0.914 0.914 0.914
Co1 0.500 0.000 0.000
Co2 0.000 0.000 0.500
Co3 0.000 0.500 0.000
Co4 0.000 0.704 0.296
Co5 0.704 0.296 0.000
Co6 0.296 0.000 0.704
Co7 0.296 0.704 0.000
Co8 0.704 0.000 0.296
Co9 0.000 0.296 0.704
Co10 0.151 0.655 0.655
Co11 0.655 0.655 0.151
Co12 0.655 0.151 0.655
Co13 0.849 0.345 0.345
Co14 0.345 0.345 0.849
Co15 0.345 0.849 0.345